[1]
Density functional theory data (PBE) for an optimized crystal structure of Ce2GaCu.

a = 3.1700 Å, b = 3.1700 Å, c = 8.5273 Å
α = 90.00°, β = 90.00°, γ = 90.00°
Closest atoms and distances in Å follow each position.
Atoms (fractional coordinates):
Cu 0.5000 0.5000 0.0000  8 Ce 3.04, 4 Cu 3.17
Ce 0.0000 0.0000 0.2413  4 Cu 3.04, 4 Ga 3.14, 4 Ce 3.17
Ce 0.0000 0.0000 0.7587  4 Cu 3.04, 4 Ga 3.14, 4 Ce 3.17
Ga 0.5000 0.5000 0.5000  8 Ce 3.14, 4 Ga 3.17

The calculated volume comes out at 21.4 Å³/atom. As for the space group: No. 123. The calculation puts the calculated total energy at -20.044 eV for the cell shown. The formation energy is -0.26 eV per atom.


[2]
Density functional theory data (PBE) for an optimized crystal structure of GdTaN2.

a = 3.2571 Å, b = 3.2571 Å, c = 5.7878 Å
α = 73.66°, β = 73.66°, γ = 60.00°
Closest atoms and distances in Å follow each position.
Atoms (fractional coordinates):
Gd 0.0000 0.0000 0.0000  6 N 2.45
N 0.2377 0.2377 0.2870  3 Ta 2.21, 3 Gd 2.45
N 0.7623 0.7623 0.7130  3 Ta 2.21, 3 Gd 2.45
Ta 0.5000 0.5000 0.5000  6 N 2.21

The calculated volume comes out at 12.6 Å³/atom. As for the space group: No. 166. The calculation puts the calculated total energy at -47.974 eV for the cell shown.


[3]
Density functional theory data (PBE) for an optimized crystal structure of Sm5Tm.

a = 5.0949 Å, b = 5.0960 Å, c = 8.0613 Å
α = 108.43°, β = 90.00°, γ = 90.00°
Closest atoms and distances in Å follow each position.
Atoms (fractional coordinates):
Sm 0.5000 0.1662 0.3325  2 Tm 3.60, 10 Sm 3.60-3.62
Sm 0.5000 0.5000 0.0000  8 Sm 3.59-3.60, 4 Tm 3.60
Sm 0.5000 0.8338 0.6675  2 Tm 3.60, 10 Sm 3.60-3.62
Sm 0.0000 0.6654 0.3308  10 Sm 3.59-3.63, 2 Tm 3.59
Sm 0.0000 0.3346 0.6692  10 Sm 3.59-3.63, 2 Tm 3.59
Tm 0.0000 0.0000 0.0000  12 Sm 3.59-3.60

The calculated volume comes out at 33.1 Å³/atom. As for the space group: No. 65. The calculation puts the calculated total energy at -27.967 eV for the cell shown. The formation energy is 0.02 eV per atom.


[4]
Density functional theory data (PBE) for an optimized crystal structure of PaSi3Pt3.

a = 6.5706 Å, b = 6.5706 Å, c = 6.5706 Å
α = 90.00°, β = 90.00°, γ = 90.00°
Closest atoms and distances in Å follow each position.
Atoms (fractional coordinates):
Si 0.2500 0.5000 0.0000  4 Pt 2.32
Si 0.5000 0.0000 0.7500  4 Pt 2.32
Si 0.5000 0.0000 0.2500  4 Pt 2.32
Si 0.7500 0.5000 0.0000  4 Pt 2.32
Si 0.0000 0.2500 0.5000  4 Pt 2.32
Si 0.0000 0.7500 0.5000  4 Pt 2.32
Pt 0.2500 0.0000 0.5000  4 Si 2.32
Pt 0.0000 0.5000 0.2500  4 Si 2.32
Pt 0.5000 0.2500 0.0000  4 Si 2.32
Pt 0.0000 0.5000 0.7500  4 Si 2.32
Pt 0.5000 0.7500 0.0000  4 Si 2.32
Pt 0.7500 0.0000 0.5000  4 Si 2.32
Pa 0.5000 0.5000 0.5000  12 Pt 3.67, 12 Si 3.67
Pa 0.0000 0.0000 0.0000  12 Pt 3.67, 12 Si 3.67

The calculated volume comes out at 20.3 Å³/atom. As for the space group: No. 223. The calculation puts the calculated total energy at -94.058 eV for the cell shown.


[5]
Density functional theory data (PBE) for an optimized crystal structure of AcAl3Ag2.

a = 5.5491 Å, b = 6.9303 Å, c = 6.9303 Å
α = 102.91°, β = 90.00°, γ = 90.00°
Closest atoms and distances in Å follow each position.
Atoms (fractional coordinates):
Al 0.7500 0.0689 0.0689  2 Al 2.69, 4 Ag 2.74
Al 0.2500 0.9092 0.5390  4 Ag 2.63-2.77, 1 Al 2.69
Al 0.7500 0.4610 0.0908  4 Ag 2.63-2.77, 1 Al 2.69
Al 0.7500 0.0908 0.4610  4 Ag 2.63-2.77, 1 Al 2.69
Al 0.2500 0.9311 0.9311  2 Al 2.69, 4 Ag 2.74
Al 0.2500 0.5390 0.9092  4 Ag 2.63-2.77, 1 Al 2.69
Ac 0.7500 0.6723 0.6723  9 Al 3.43-3.56, 4 Ag 3.73
Ac 0.2500 0.3277 0.3277  9 Al 3.43-3.56, 4 Ag 3.73
Ag 0.5000 0.7886 0.2114  6 Al 2.63-2.77, 2 Ag 2.77
Ag 0.0000 0.7886 0.2114  6 Al 2.63-2.77, 2 Ag 2.77
Ag 0.5000 0.2114 0.7886  6 Al 2.63-2.77, 2 Ag 2.77
Ag 0.0000 0.2114 0.7886  6 Al 2.63-2.77, 2 Ag 2.77

The calculated volume comes out at 21.6 Å³/atom. As for the space group: No. 63. The calculation puts the calculated total energy at -45.115 eV for the cell shown. The formation energy is -0.25 eV per atom.


[6]
Density functional theory data (PBE) for an optimized crystal structure of TaCrCl.

a = 4.1142 Å, b = 4.1142 Å, c = 4.1142 Å
α = 60.00°, β = 60.00°, γ = 60.00°
Closest atoms and distances in Å follow each position.
Atoms (fractional coordinates):
Cr 0.7500 0.7500 0.7500  4 Ta 2.52, 4 Cl 2.52
Ta 0.0000 0.0000 0.0000  4 Cr 2.52
Cl 0.5000 0.5000 0.5000  4 Cr 2.52

The calculated volume comes out at 16.4 Å³/atom. As for the space group: No. 216. The calculation puts the calculated total energy at -20.120 eV for the cell shown.


[7]
Density functional theory data (PBE) for an optimized crystal structure of YAg3N.

a = 5.7990 Å, b = 5.7990 Å, c = 5.7990 Å
α = 90.00°, β = 90.00°, γ = 90.00°
Closest atoms and distances in Å follow each position.
Atoms (fractional coordinates):
Ag 0.0000 0.5000 0.0000  2 Y 2.90
Ag 0.0000 0.0000 0.5000  2 Y 2.90
Ag 0.5000 0.0000 0.0000  2 Y 2.90
Y 0.0000 0.0000 0.0000  6 Ag 2.90
N 0.5000 0.5000 0.5000  12 Ag 4.10

The calculated volume comes out at 39.0 Å³/atom. As for the space group: No. 221. The calculation puts the calculated total energy at -14.087 eV for the cell shown.


[8]
Density functional theory data (PBE) for an optimized crystal structure of SrCdAg2.

a = 3.6971 Å, b = 3.6969 Å, c = 7.2048 Å
α = 90.00°, β = 90.00°, γ = 90.00°
Closest atoms and distances in Å follow each position.
Atoms (fractional coordinates):
Sr 0.5000 0.5000 0.7630  5 Ag 3.32-3.45, 4 Cd 3.47, 4 Sr 3.70
Ag 0.5000 0.5000 0.2419  4 Ag 2.96, 4 Cd 3.00
Ag 0.0000 0.0000 0.0480  1 Cd 2.88, 4 Ag 2.96
Cd 0.0000 0.0000 0.4471  5 Ag 2.88-3.00

The calculated volume comes out at 24.6 Å³/atom. As for the space group: No. 99. The calculation puts the calculated total energy at -8.911 eV for the cell shown. The formation energy is -0.15 eV per atom.